The following is a DFT calculation (PBE) of crystalline CeTmCuGe at its relaxed geometry.

a b c (Å): 4.9964 4.9964 4.9964
angles (deg): 60.00 60.00 60.00
With the nearest neighbours (Å) after each atom.
Fractional positions:
Ge (0.7500, 0.7500, 0.7500)  4 Ce 3.06, 4 Tm 3.06
Tm (0.5000, 0.5000, 0.5000)  4 Ge 3.06, 4 Cu 3.06
Cu (0.2500, 0.2500, 0.2500)  4 Ce 3.06, 4 Tm 3.06
Ce (0.0000, 0.0000, 0.0000)  4 Cu 3.06, 4 Ge 3.06

## Properties
E_tot   -0.1909 Ha/atom
Formation energy   -160 kJ/mol of formula units
Space group   No. 216
DOS(E_F)   2.1935 states/eV per atom
M_tot   0.251 μB/atom